The following is a PBE calculation of an optimized crystal structure of La2SnGePd6, from the Alexandria database.

Results
The density of states at the Fermi level is 0.469 states/eV/atom. The raw total energy is -0.4165 Ry per atom.

abc: 5.5837 6.5739 6.9235
angles: 80.80 66.29 64.98
Closest atoms and distances in Å follow each position.
Space group P-1 (No. 2)
Inequivalent atoms, fractional coordinates:
La 0.2480 0.2714 0.2340 [2 per cell]  7 Pd 3.00-3.30
Sn 0.0000 0.0000 0.0000 [1 per cell]  6 Pd 2.68-2.69
Ge 0.5000 0.5000 0.5000 [1 per cell]  6 Pd 2.51-2.53
Pd 0.2298 0.2836 0.7627 [2 per cell]  1 Ge 2.53, 1 Sn 2.68, 3 Pd 2.76-2.83
Pd 0.2527 0.9131 0.5827 [2 per cell]  1 Ge 2.51, 1 Sn 2.69
Pd 0.2746 0.7174 0.2382 [2 per cell]  1 Ge 2.53, 1 Sn 2.68, 3 Pd 2.76-2.82